Record 1
HoTmBe2 | PBE | optimized geometry

```
data_HoTmBe2
_chemical_formula_sum 'Ho4 Tm4 Be8'
_cell_length_a 6.7544
_cell_length_b 6.7544
_cell_length_c 6.7544
_cell_angle_alpha 90.00
_cell_angle_beta 90.00
_cell_angle_gamma 90.00
_symmetry_space_group_name_H-M 'F m -3 m'
_symmetry_Int_Tables_number 225
_symmetry_space_group_name_Hall '-F 4 2 3'
loop_
_atom_site_label
_atom_site_type_symbol
_atom_site_fract_x
_atom_site_fract_y
_atom_site_fract_z
Ho1 Ho 0.0000 0.0000 0.0000
Tm1 Tm 0.0000 0.0000 0.5000
Be1 Be 0.2500 0.2500 0.2500
```

***

Record 2
HoTmBe2 | PBE | optimized geometry

```
data_HoTmBe2
_chemical_formula_sum 'Ho1 Tm1 Be2'
_cell_length_a 4.7607
_cell_length_b 4.7607
_cell_length_c 3.3902
_cell_angle_alpha 90.00
_cell_angle_beta 90.00
_cell_angle_gamma 90.00
_symmetry_space_group_name_H-M 'P 4/m m m'
_symmetry_Int_Tables_number 123
_symmetry_space_group_name_Hall '-P 4 2'
loop_
_atom_site_label
_atom_site_type_symbol
_atom_site_fract_x
_atom_site_fract_y
_atom_site_fract_z
Ho1 Ho 0.0000 0.0000 0.0000
Tm1 Tm 0.5000 0.5000 0.0000
Be1 Be 0.0000 0.5000 0.5000
```

***

Record 3
HoTmBeZn | PBE | optimized geometry

```
data_HoTmBeZn
_chemical_formula_sum 'Ho4 Tm4 Be4 Zn4'
_cell_length_a 6.9252
_cell_length_b 6.9252
_cell_length_c 6.9252
_cell_angle_alpha 90.00
_cell_angle_beta 90.00
_cell_angle_gamma 90.00
_symmetry_space_group_name_H-M 'F -4 3 m'
_symmetry_Int_Tables_number 216
_symmetry_space_group_name_Hall 'F -4 2 3'
loop_
_atom_site_label
_atom_site_type_symbol
_atom_site_fract_x
_atom_site_fract_y
_atom_site_fract_z
Ho1 Ho 0.0000 0.0000 0.0000
Tm1 Tm 0.0000 0.0000 0.5000
Be1 Be 0.2500 0.2500 0.2500
Zn1 Zn 0.2500 0.2500 0.7500
```

***

Record 4
HoBe17V | PBE | optimized geometry

```
data_HoBe17V
_chemical_formula_sum 'Ho3 Be51 V3'
_cell_length_a 7.4720
_cell_length_b 7.4720
_cell_length_c 10.9066
_cell_angle_alpha 90.00
_cell_angle_beta 90.00
_cell_angle_gamma 120.00
_symmetry_space_group_name_H-M 'R 3 m'
_symmetry_Int_Tables_number 160
_symmetry_space_group_name_Hall 'R 3 -2"'
loop_
_atom_site_label
_atom_site_type_symbol
_atom_site_fract_x
_atom_site_fract_y
_atom_site_fract_z
Ho1 Ho 0.0000 0.0000 0.0000
Be1 Be 0.0000 0.0000 0.2468
Be2 Be 0.0000 0.0000 0.4405
Be3 Be 0.0052 0.2925 0.3387
Be4 Be 0.0061 0.5031 0.1818
Be5 Be 0.0078 0.5039 0.4944
Be6 Be 0.1677 0.3354 0.1735
V1 V 0.0000 0.0000 0.6707
```

***

Record 5
HoBe17W | PBE | optimized geometry

```
data_HoBe17W
_chemical_formula_sum 'Ho3 Be51 W3'
_cell_length_a 7.4663
_cell_length_b 7.4663
_cell_length_c 10.8850
_cell_angle_alpha 90.00
_cell_angle_beta 90.00
_cell_angle_gamma 120.00
_symmetry_space_group_name_H-M 'R 3 m'
_symmetry_Int_Tables_number 160
_symmetry_space_group_name_Hall 'R 3 -2"'
loop_
_atom_site_label
_atom_site_type_symbol
_atom_site_fract_x
_atom_site_fract_y
_atom_site_fract_z
Ho1 Ho 0.0000 0.0000 0.0000
Be1 Be 0.0000 0.0000 0.2472
Be2 Be 0.0000 0.0000 0.4408
Be3 Be 0.0027 0.5013 0.1802
Be4 Be 0.0048 0.2918 0.3387
Be5 Be 0.0086 0.5043 0.4943
Be6 Be 0.1682 0.3364 0.1738
W1 W 0.0000 0.0000 0.6759
```

***

Record 6
YHoBeZn | PBE | optimized geometry

```
data_YHoBeZn
_chemical_formula_sum 'Y4 Ho4 Be4 Zn4'
_cell_length_a 6.9874
_cell_length_b 6.9874
_cell_length_c 6.9874
_cell_angle_alpha 90.00
_cell_angle_beta 90.00
_cell_angle_gamma 90.00
_symmetry_space_group_name_H-M 'F -4 3 m'
_symmetry_Int_Tables_number 216
_symmetry_space_group_name_Hall 'F -4 2 3'
loop_
_atom_site_label
_atom_site_type_symbol
_atom_site_fract_x
_atom_site_fract_y
_atom_site_fract_z
Y1 Y 0.0000 0.0000 0.0000
Ho1 Ho 0.0000 0.0000 0.5000
Be1 Be 0.2500 0.2500 0.2500
Zn1 Zn 0.2500 0.2500 0.7500
```

***

Record 7
HoBe2Zn9 | PBE | optimized geometry

```
data_HoBe2Zn9
_chemical_formula_sum 'Ho4 Be8 Zn36'
_cell_length_a 10.2805
_cell_length_b 10.2805
_cell_length_c 6.5798
_cell_angle_alpha 90.00
_cell_angle_beta 90.00
_cell_angle_gamma 90.00
_symmetry_space_group_name_H-M 'I 41/a m d'
_symmetry_Int_Tables_number 141
loop_
_symmetry_equiv_pos_as_xyz
'x,y,z'
'-x,-y,-z'
'-y+1/4,x+3/4,z+1/4'
'y+1/4,-x+3/4,-z+1/4'
'-x+1/2,-y,z+1/2'
'x+1/2,y,-z+1/2'
'y+1/4,-x+1/4,z+3/4'
'-y+1/4,x+1/4,-z+3/4'
'x,-y,-z'
'-x,y,z'
'-y+1/4,-x+1/4,-z+3/4'
'y+1/4,x+1/4,z+3/4'
'-x+1/2,y,-z+1/2'
'x+1/2,-y,z+1/2'
'y+1/4,x+3/4,-z+1/4'
'-y+1/4,-x+3/4,z+1/4'
'x+1/2,y+1/2,z+1/2'
'-x+1/2,-y+1/2,-z+1/2'
'-y+3/4,x+1/4,z+3/4'
'y+3/4,-x+1/4,-z+3/4'
'-x,-y+1/2,z'
'x,y+1/2,-z'
'y+3/4,-x+3/4,z+1/4'
'-y+3/4,x+3/4,-z+1/4'
'x+1/2,-y+1/2,-z+1/2'
'-x+1/2,y+1/2,z+1/2'
'-y+3/4,-x+3/4,-z+1/4'
'y+3/4,x+3/4,z+1/4'
'-x,y+1/2,-z'
'x,-y+1/2,z'
'y+3/4,x+1/4,-z+3/4'
'-y+3/4,-x+1/4,z+3/4'
loop_
_atom_site_label
_atom_site_type_symbol
_atom_site_fract_x
_atom_site_fract_y
_atom_site_fract_z
Ho1 Ho 0.0000 0.2500 0.3750
Be1 Be 0.0000 0.0000 0.0000
Zn1 Zn 0.0000 0.2500 0.8750
Zn2 Zn 0.1218 0.0496 0.6844
```

***

Record 8
HoBeZn3 | PBE | optimized geometry

```
data_HoBeZn3
_chemical_formula_sum 'Ho1 Be1 Zn3'
_cell_length_a 4.3772
_cell_length_b 4.3772
_cell_length_c 4.3772
_cell_angle_alpha 90.00
_cell_angle_beta 90.00
_cell_angle_gamma 90.00
_symmetry_space_group_name_H-M 'P m -3 m'
_symmetry_Int_Tables_number 221
_symmetry_space_group_name_Hall '-P 4 2 3'
loop_
_atom_site_label
_atom_site_type_symbol
_atom_site_fract_x
_atom_site_fract_y
_atom_site_fract_z
Ho1 Ho 0.0000 0.0000 0.0000
Be1 Be 0.5000 0.5000 0.5000
Zn1 Zn 0.0000 0.5000 0.5000
```

***

Record 9
Ho2BeZn | PBE | optimized geometry

```
data_Ho2BeZn
_chemical_formula_sum 'Ho8 Be4 Zn4'
_cell_length_a 6.9581
_cell_length_b 6.9581
_cell_length_c 6.9581
_cell_angle_alpha 90.00
_cell_angle_beta 90.00
_cell_angle_gamma 90.00
_symmetry_space_group_name_H-M 'F m -3 m'
_symmetry_Int_Tables_number 225
_symmetry_space_group_name_Hall '-F 4 2 3'
loop_
_atom_site_label
_atom_site_type_symbol
_atom_site_fract_x
_atom_site_fract_y
_atom_site_fract_z
Ho1 Ho 0.2500 0.2500 0.2500
Be1 Be 0.0000 0.0000 0.0000
Zn1 Zn 0.0000 0.0000 0.5000
```

***

Record 10
Ho2BeZn | PBE | optimized geometry

```
data_Ho2BeZn
_chemical_formula_sum 'Ho6 Be3 Zn3'
_cell_length_a 3.3572
_cell_length_b 3.3572
_cell_length_c 30.4745
_cell_angle_alpha 90.00
_cell_angle_beta 90.00
_cell_angle_gamma 120.00
_symmetry_space_group_name_H-M 'R -3 m'
_symmetry_Int_Tables_number 166
_symmetry_space_group_name_Hall '-R 3 2"'
loop_
_atom_site_label
_atom_site_type_symbol
_atom_site_fract_x
_atom_site_fract_y
_atom_site_fract_z
Ho1 Ho 0.0000 0.0000 0.1011
Be1 Be 0.0000 0.0000 0.5000
Zn1 Zn 0.0000 0.0000 0.0000
```

***

Record 11
Ho2BeZn | PBE | optimized geometry

```
data_Ho2BeZn
_chemical_formula_sum 'Ho2 Be1 Zn1'
_cell_length_a 3.4337
_cell_length_b 3.4337
_cell_length_c 7.0691
_cell_angle_alpha 90.00
_cell_angle_beta 90.00
_cell_angle_gamma 90.00
_symmetry_space_group_name_H-M 'P 4/m m m'
_symmetry_Int_Tables_number 123
_symmetry_space_group_name_Hall '-P 4 2'
loop_
_atom_site_label
_atom_site_type_symbol
_atom_site_fract_x
_atom_site_fract_y
_atom_site_fract_z
Ho1 Ho 0.0000 0.0000 0.2332
Be1 Be 0.5000 0.5000 0.0000
Zn1 Zn 0.5000 0.5000 0.5000
```

***

Record 12
HoZrBe2 | PBE | optimized geometry

```
data_HoZrBe2
_chemical_formula_sum 'Ho1 Zr1 Be2'
_cell_length_a 3.2815
_cell_length_b 3.2815
_cell_length_c 6.4995
_cell_angle_alpha 90.00
_cell_angle_beta 90.00
_cell_angle_gamma 90.00
_symmetry_space_group_name_H-M 'P 4/m m m'
_symmetry_Int_Tables_number 123
_symmetry_space_group_name_Hall '-P 4 2'
loop_
_atom_site_label
_atom_site_type_symbol
_atom_site_fract_x
_atom_site_fract_y
_atom_site_fract_z
Ho1 Ho 0.0000 0.0000 0.0000
Zr1 Zr 0.0000 0.0000 0.5000
Be1 Be 0.5000 0.5000 0.2814
```

***

The calculation returns the following energy of formation values, one per record and in order: 0.08; 0.08; -0.12; -0.11; -0.11; -0.12; -0.14; -0.06; -0.12; 0.42; -0.13; 0.00 eV per atom.
The calculation returns the following magnetic moment values, one per record and in order: 0.001; 0.000; 0.000; 0.004; 0.000; 0.001; 0.000; 0.000; 0.000; 0.000; 0.001; 0.000 μB/cell.